Below is crystalline LiCePmAg at its relaxed geometry, with properties calculated at the PBE level.

Cell: 5.2833 5.2833 5.2833 Å, 60.00 60.00 60.00°
With the nearest neighbours (Å) after each atom.
Atoms (fractional coordinates):
Li1 0.0000 0.0000 0.0000  4 Ce 3.24, 4 Pm 3.24
Ce1 0.2500 0.2500 0.2500  4 Li 3.24, 4 Ag 3.24
Pm1 0.7500 0.7500 0.7500  4 Li 3.24, 4 Ag 3.24
Ag1 0.5000 0.5000 0.5000  4 Ce 3.24, 4 Pm 3.24

Results
space-group type: F-43m
E_tot: -3.810 eV/atom
magnetic moment: 1.59 μB per formula unit
energy relative to the elements: 0.052 eV/atom